The following is a PBE-GGA calculation of KTc2Rh after structural relaxation, from Alexandria via LeMat-Bulk.

extended XYZ file:
```
4
Lattice="5.261 -0.027 -0.044 4.421 2.852 -0.044 1.164 0.340 5.884" Properties=species:S:1:pos:R:3 pbc="T T T"
K 8.135 2.373 4.347
Tc 5.627 1.642 2.152
Tc 9.478 2.766 0.658
Rh 2.712 0.791 1.449
```

Values from the calculation:
The calculation puts the formation energy at 0.83 eV/atom. Its energy relative to the lowest polymorph listed for this composition is 0.262 eV per atom.

=====

The following is a PBE-GGA calculation of ZrSb2Cl after structural relaxation, from Alexandria via LeMat-Bulk.

extended XYZ file:
```
4
Lattice="3.796 0.000 0.000 0.000 4.593 0.000 0.000 0.000 5.413" Properties=species:S:1:pos:R:3 pbc="T T T"
Zr 1.898 0.000 2.707
Cl 0.000 2.296 2.707
Sb 0.000 0.000 0.000
Sb 1.898 2.296 0.000
```

Values from the calculation:
Its energy relative to the lowest polymorph listed for this composition is 0.474 eV per atom.

=====

The following is a PBE-GGA calculation of Cs2RbMgAs after structural relaxation, from Alexandria via LeMat-Bulk.

extended XYZ file:
```
5
Lattice="7.555 0.000 0.000 0.000 6.438 0.000 0.000 0.000 7.555" Properties=species:S:1:pos:R:3 pbc="T T T"
Cs 0.000 0.000 3.778
As 3.778 3.219 3.778
Rb 0.000 0.000 0.000
Cs 3.778 0.000 0.000
Mg 0.000 3.219 0.000
```

Values from the calculation:
The calculation puts the formation energy at 0.73 eV/atom. Its energy relative to the lowest polymorph listed for this composition is 0.848 eV per atom.